The following is a DFT calculation (PBEsol) of a geometry-optimized La2AlIn structure.

Calculated values
Density of states at the Fermi level ... 2.302 states/eV/cell
E_tot ... -4.89 eV/atom

Cell and atoms, written as POSCAR:
```
La2AlIn
1.0
4.1593 0.0000 0.0000
0.0000 5.0070 0.0000
-2.0797 -2.5035 5.2071
La In Al
2 1 1
Cartesian
2.0797 0.0000 2.7747 La
2.0797 2.5035 5.0585 La
0.0000 2.5035 2.2141 In
2.0797 2.5035 0.3668 Al
```


The following is a DFT calculation (PBEsol) of a geometry-optimized AsC2S structure.

Calculated values
Density of states at the Fermi level ... 1.644 states/eV/cell
Formation energy (no corrections) ... 1.6048 eV/atom
E_tot ... -5.59 eV/atom

Cell and atoms, written as POSCAR:
```
AsC2S
1.0
-0.6323 -2.4490 3.3720
3.5941 1.4061 1.6952
-4.1768 4.5203 -0.1349
C S As
4 2 2
Cartesian
-1.3398 2.7156 3.0383 C
-2.7040 3.2827 0.5598 C
1.8532 1.4023 2.7688 C
-0.2394 -0.4457 3.4978 C
1.4809 -0.5214 2.5336 S
-1.6641 0.7749 2.8854 S
0.0000 0.0000 0.0000 As
0.4491 2.7025 2.0470 As
```


The following is a DFT calculation (PBEsol) of a geometry-optimized RbBiTe2Ir structure.

Calculated values
Density of states at the Fermi level ... 4.410 states/eV/cell
Formation energy (no corrections) ... 0.3782 eV/atom
E_tot ... -4.06 eV/atom

Cell and atoms, written as POSCAR:
```
RbBiTe2Ir
1.0
-0.3108 1.3962 4.9702
-5.1619 -0.1637 -0.2768
0.0907 -5.4694 1.5420
Ir Rb Bi Te
1 1 1 2
Cartesian
0.0000 0.0000 0.0000 Ir
0.0454 -2.7347 0.7710 Rb
-2.6910 -2.1184 3.1177 Bi
-0.1554 0.6981 2.4851 Te
-2.5810 -0.0818 -0.1384 Te
```


The following is a DFT calculation (PBEsol) of a geometry-optimized TiCdIr3 structure.

Calculated values
Density of states at the Fermi level ... 5.438 states/eV/cell
E_tot ... -5.65 eV/atom

Cell and atoms, written as POSCAR:
```
TiCdIr3
1.0
4.6999 0.0000 0.0000
0.0000 4.6999 0.0000
0.0000 0.0000 4.6999
Ir Cd Ti
3 1 1
Cartesian
0.0000 2.3500 0.0000 Ir
0.0000 0.0000 2.3500 Ir
2.3500 0.0000 0.0000 Ir
0.0000 0.0000 0.0000 Cd
2.3500 2.3500 2.3500 Ti
```